No. 1
Material: Tb12Dy7Ho
Method: DFT, GGA-PBE
State: relaxed

The structure in CIF format:
```
data_Tb12Dy7Ho
_cell_length_a 12.7720
_cell_length_b 12.7720
_cell_length_c 13.6797
_cell_angle_alpha 90.00
_cell_angle_beta 90.00
_cell_angle_gamma 120.00
_space_group_name_H-M_alt 'R -3'
_space_group_IT_number 148
_space_group_name_Hall '-R 3'
loop_
_atom_site_label
_atom_site_fract_x
_atom_site_fract_y
_atom_site_fract_z
Tb1 0.0005 0.5647 0.2497
Tb2 0.0683 0.1999 0.8473
Dy1 0.0000 0.0000 0.0000
Dy2 0.0683 0.8687 0.3475
Ho1 0.0000 0.0000 0.5000
```

Values from the calculation:
* density of states at the Fermi level: 0.909 states/eV per atom
* E: -259.6 eV/cell

---

No. 2
Material: Ac3Mg4Ag4
Method: DFT, GGA-PBE
State: relaxed

The structure in CIF format:
```
data_Ac3Mg4Ag4
_cell_length_a 4.5554
_cell_length_b 8.3128
_cell_length_c 15.6740
_cell_angle_alpha 90.00
_cell_angle_beta 90.00
_cell_angle_gamma 90.00
_space_group_name_H-M_alt 'I m m m'
_space_group_IT_number 71
_space_group_name_Hall '-I 2 2'
loop_
_atom_site_label
_atom_site_fract_x
_atom_site_fract_y
_atom_site_fract_z
Ac1 0.0000 0.0000 0.0000
Ac2 0.0000 0.5000 0.1209
Mg1 0.0000 0.3100 0.3236
Ag1 0.0000 0.0000 0.2210
Ag2 0.0000 0.1938 0.5000
```

Values from the calculation:
* density of states at the Fermi level: 0.692 states/eV per atom
* E: -65.7 eV/cell

---

No. 3
Material: Fe3Rh13
Method: DFT, GGA-PBE
State: relaxed

The structure in CIF format:
```
data_Fe3Rh13
_cell_length_a 7.6276
_cell_length_b 7.5828
_cell_length_c 7.6738
_cell_angle_alpha 90.00
_cell_angle_beta 90.00
_cell_angle_gamma 90.00
_space_group_name_H-M_alt 'A m m 2'
_space_group_IT_number 38
_space_group_name_Hall 'A 2 -2'
loop_
_atom_site_label
_atom_site_fract_x
_atom_site_fract_y
_atom_site_fract_z
Fe1 0.0000 0.0000 0.0000
Fe2 0.2526 0.0000 0.2570
Rh1 0.0000 0.0000 0.5041
Rh2 0.0000 0.2416 0.2518
Rh3 0.2471 0.0000 0.7565
Rh4 0.2485 0.2470 0.0059
Rh5 0.5000 0.0000 0.0062
Rh6 0.5000 0.0000 0.5014
Rh7 0.5000 0.2488 0.2554
```

Values from the calculation:
* density of states at the Fermi level: 1.363 states/eV per atom
* E: -242.3 eV/cell

---

No. 4
Material: SrY5Cd6
Method: DFT, GGA-PBE
State: relaxed

The structure in CIF format:
```
data_SrY5Cd6
_cell_length_a 5.3599
_cell_length_b 7.6035
_cell_length_c 16.0608
_cell_angle_alpha 90.00
_cell_angle_beta 90.00
_cell_angle_gamma 90.00
_space_group_name_H-M_alt 'I m m m'
_space_group_IT_number 71
_space_group_name_Hall '-I 2 2'
loop_
_atom_site_label
_atom_site_fract_x
_atom_site_fract_y
_atom_site_fract_z
Sr1 0.0000 0.0000 0.0000
Y1 0.0000 0.0000 0.3311
Y2 0.0000 0.5000 0.0000
Y3 0.0000 0.5000 0.3376
Cd1 0.0000 0.2295 0.5000
Cd2 0.0000 0.2601 0.1718
```

Values from the calculation:
* density of states at the Fermi level: 0.872 states/eV per atom
* E: -86.9 eV/cell

---

No. 5
Material: RbCrFe3
Method: DFT, GGA-PBE
State: relaxed

The structure in CIF format:
```
data_RbCrFe3
_cell_length_a 4.3120
_cell_length_b 4.3120
_cell_length_c 4.3120
_cell_angle_alpha 90.00
_cell_angle_beta 90.00
_cell_angle_gamma 90.00
_space_group_name_H-M_alt 'P m -3 m'
_space_group_IT_number 221
_space_group_name_Hall '-P 4 2 3'
loop_
_atom_site_label
_atom_site_fract_x
_atom_site_fract_y
_atom_site_fract_z
Rb1 0.0000 0.0000 0.0000
Cr1 0.5000 0.5000 0.5000
Fe1 0.0000 0.0000 0.5000
```

Values from the calculation:
* density of states at the Fermi level: 3.869 states/eV per atom
* E: -19.3 eV/cell

---

No. 6
Material: TmLuGeIr
Method: DFT, GGA-PBE
State: relaxed

The structure in CIF format:
```
data_TmLuGeIr
_cell_length_a 6.8911
_cell_length_b 6.8911
_cell_length_c 6.8911
_cell_angle_alpha 90.00
_cell_angle_beta 90.00
_cell_angle_gamma 90.00
_space_group_name_H-M_alt 'F -4 3 m'
_space_group_IT_number 216
_space_group_name_Hall 'F -4 2 3'
loop_
_atom_site_label
_atom_site_fract_x
_atom_site_fract_y
_atom_site_fract_z
Tm1 0.0000 0.0000 0.0000
Lu1 0.0000 0.0000 0.5000
Ge1 0.2500 0.2500 0.7500
Ir1 0.2500 0.2500 0.2500
```

Values from the calculation:
* density of states at the Fermi level: 0.761 states/eV per atom
* E: -101.8 eV/cell